## Pm2Tm3ThS6 (GGA-PBE)

Data for Pm2Tm3ThS6 after structural relaxation.

Structure (CIF):
```
data_Pm2Tm3ThS6
_cell_length_a 17.332
_cell_length_b 3.903
_cell_length_c 7.965
_cell_angle_alpha 90.00
_cell_angle_beta 105.30
_cell_angle_gamma 90.00
_space_group_name_H-M_alt 'C 1 2/m 1'
_space_group_IT_number 12
loop_
_space_group_symop_operation_xyz
'x,y,z'
'-x,-y,-z'
'-x,y,-z'
'x,-y,z'
'x+1/2,y+1/2,z'
'-x+1/2,-y+1/2,-z'
'-x+1/2,y+1/2,-z'
'x+1/2,-y+1/2,z'
loop_
_atom_site_label
_atom_site_fract_x
_atom_site_fract_y
_atom_site_fract_z
_atom_site_occupancy
Pm1 0.164 0.000 0.329 1
Tm1 0.000 0.500 0.500 1
Tm2 0.166 0.000 0.834 1
Th1 0.000 0.500 0.000 1
S1 0.005 0.000 0.738 1
S2 0.164 0.500 0.594 1
S3 0.172 0.500 0.073 1
```

Properties
E_tot in eV per atom: -6.5386
V in Å³/atom: 21.66
Crystal system: monoclinic